(1)
# La8CePr6 GGA-PBE optimized geometry
data_La8CePr6
_space_group_name_H-M_alt 'R -3'
_space_group_IT_number 148
_space_group_name_Hall '-R 3'
_cell_length_a 10.1063
_cell_length_b 10.1063
_cell_length_c 18.4724
_cell_angle_alpha 90.00
_cell_angle_beta 90.00
_cell_angle_gamma 120.00
loop_
_atom_site_label
_atom_site_fract_x
_atom_site_fract_y
_atom_site_fract_z
_atom_site_occupancy
La1 0.0000 0.0000 0.0849 1
La2 0.0578 0.8198 0.6685 1
Ce1 0.0000 0.0000 0.5000 1
Pr1 0.0447 0.7584 0.1746 1
# mass density = 6.39 g cm⁻³
# DFT formation energy = 12.3 kJ per mole of atoms
# D(E_F) = 78.5 states/eV per cell

=====

(2)
# PtClO GGA-PBE optimized geometry
data_PtClO
_space_group_name_H-M_alt 'C 1 2/m 1'
_space_group_IT_number 12
_space_group_name_Hall '-C 2y'
_cell_length_a 11.991
_cell_length_b 8.021
_cell_length_c 6.464
_cell_angle_alpha 90.00
_cell_angle_beta 101.80
_cell_angle_gamma 90.00
loop_
_atom_site_label
_atom_site_fract_x
_atom_site_fract_y
_atom_site_fract_z
_atom_site_occupancy
Pt1 0.107 0.000 0.183 1
Pt2 0.211 0.000 0.750 1
Cl1 0.119 0.500 0.345 1
Cl2 0.209 0.500 0.883 1
O1 0.069 0.000 0.876 1
O2 0.118 0.000 0.475 1
# mass density = 5.38 g cm⁻³
# D(E_F) = 15.5 states/eV per cell
# energy = -4.526 eV per atom

=====

(3)
# TaTiFeNi GGA-PBE optimized geometry
data_TaTiFeNi
_space_group_name_H-M_alt 'F -4 3 m'
_space_group_IT_number 216
_space_group_name_Hall 'F -4 2 3'
_cell_length_a 6.059
_cell_length_b 6.059
_cell_length_c 6.059
_cell_angle_alpha 90.00
_cell_angle_beta 90.00
_cell_angle_gamma 90.00
loop_
_atom_site_label
_atom_site_fract_x
_atom_site_fract_y
_atom_site_fract_z
_atom_site_occupancy
Ta1 0.000 0.000 0.000 1
Ti1 0.000 0.000 0.500 1
Fe1 0.250 0.250 0.250 1
Ni1 0.250 0.250 0.750 1
# mass density = 10.25 g cm⁻³
# DFT formation energy = -22.3 kJ per mole of atoms
# D(E_F) = 14.7 states/eV per cell